1.
Entry from Alexandria via LeMat-Bulk: a crystal of NpB2 relaxed with PBEsol (meta-GGA SCAN).

Properties
Symmetry = P6/mmm, No. 191
Volume = 10.33 A^3/atom
Total moment = 1.54 μB/f.u.
Formation enthalpy at 0 K = -314 meV per atom
E_tot = -40.937 eV per atom

a = 3.0107 Å, b = 3.0107 Å, c = 3.9465 Å
α = 90.00°, β = 90.00°, γ = 120.00°
Site moments in Bohr magnetons follow the coordinates.
Fractional coordinates of all 3 atoms:
Np 0.0000 0.0000 0.0000  1.65
B 0.3333 0.6667 0.5000  -0.06
B 0.6667 0.3333 0.5000  -0.06

---

2.
Entry from Alexandria via LeMat-Bulk: a crystal of GeOF2 relaxed with PBEsol (meta-GGA SCAN).

Properties
Symmetry = I-42d, No. 122
Volume = 9.89 A^3/atom
Total moment = 0.95 μB/f.u.
E_tot = -8.797 eV per atom
ΔE_f (raw) = -697 meV/atom

a = 3.3037 Å, b = 3.3037 Å, c = 7.6138 Å
α = 102.53°, β = 102.53°, γ = 90.00°
Site moments in Bohr magnetons follow the coordinates.
Fractional coordinates of all 8 atoms:
Ge 0.2500 0.7500 0.5000  -0.02
Ge 0.0000 0.0000 0.0000  -0.02
O 0.7500 0.2500 0.5000  0.70
O 0.5000 0.5000 0.0000  0.70
F 0.3494 0.8750 0.2500  0.10
F 0.9006 0.3750 0.2500  0.10
F 0.1250 0.0994 0.7500  0.10
F 0.6250 0.6506 0.7500  0.10

---

3.
Entry from Alexandria via LeMat-Bulk: a crystal of CaLaY2 relaxed with PBEsol (meta-GGA SCAN).

Properties
Symmetry = Pmm2, No. 25
Volume = 33.48 A^3/atom
Total moment = 0.41 μB/f.u.
Formation enthalpy at 0 K = 100 meV per atom
Relative energy among the computed polymorphs = 28.6 meV per atom
E_tot = -27.014 eV per atom

a = 3.5824 Å, b = 5.1042 Å, c = 7.3238 Å
α = 90.00°, β = 90.01°, γ = 90.00°
Site moments in Bohr magnetons follow the coordinates.
Fractional coordinates of all 4 atoms:
Y 0.0000 0.0000 0.0037  0.09
Y 0.4998 0.5000 0.2325  0.10
Ca 0.0001 0.0000 0.4960  0.00
La 0.5001 0.5000 0.7678  0.07

---

4.
Entry from Alexandria via LeMat-Bulk: a crystal of InFe3Tc relaxed with PBEsol (meta-GGA SCAN).

Properties
Symmetry = Pm-3m, No. 221
Volume = 17.02 A^3/atom
Total moment = 7.34 μB/f.u.
Formation enthalpy at 0 K = 1339 meV per atom
E_tot = -23.228 eV per atom

a = 4.3989 Å, b = 4.3989 Å, c = 4.3989 Å
α = 90.00°, β = 90.00°, γ = 90.00°
Site moments in Bohr magnetons follow the coordinates.
Fractional coordinates of all 5 atoms:
Fe 0.0000 0.5000 0.0000  2.60
Fe 0.0000 0.0000 0.5000  2.60
Fe 0.5000 0.0000 0.0000  2.60
Tc 0.0000 0.0000 0.0000  -0.32
In 0.5000 0.5000 0.5000  -0.07

---

Question: The highest total moment belongs to which entry?
Answer: InFe3Tc

---

Question: Among the records above, which one has the highest volume?
Answer: CaLaY2

---

Question: Number 2 is which compound?
Answer: GeOF2

---

Copy entry 2 word for word.
Entry from Alexandria via LeMat-Bulk: a crystal of GeOF2 relaxed with PBEsol (meta-GGA SCAN).

Properties
Symmetry = I-42d, No. 122
Volume = 9.89 A^3/atom
Total moment = 0.95 μB/f.u.
E_tot = -8.797 eV per atom
ΔE_f (raw) = -697 meV/atom

a = 3.3037 Å, b = 3.3037 Å, c = 7.6138 Å
α = 102.53°, β = 102.53°, γ = 90.00°
Site moments in Bohr magnetons follow the coordinates.
Fractional coordinates of all 8 atoms:
Ge 0.2500 0.7500 0.5000  -0.02
Ge 0.0000 0.0000 0.0000  -0.02
O 0.7500 0.2500 0.5000  0.70
O 0.5000 0.5000 0.0000  0.70
F 0.3494 0.8750 0.2500  0.10
F 0.9006 0.3750 0.2500  0.10
F 0.1250 0.0994 0.7500  0.10
F 0.6250 0.6506 0.7500  0.10